Record 1
The following is a DFT calculation (PBE) of a relaxed structure of Zn2Ga2Te.

Geometry as POSCAR:
```
Zn2Ga2Te
1.0
-2.178 -0.305 -3.461
-0.815 -3.926 0.859
-6.517 -0.416 1.708
Ga Zn Te
2 2 1
Direct
0.750 0.250 0.500 Ga
0.250 0.750 0.500 Ga
0.397 0.397 0.205 Zn
0.603 0.603 0.795 Zn
0.000 0.000 0.000 Te
```

Summary:
**Total magnetic moment**: 0.0 μB/cell
**V**: 20.50 Å³/atom
**Total DFT energy (no corrections)**: -11.44 eV/f.u.
**Excess energy over the best structure of this formula in the dataset**: 0 meV/atom
**Density**: 6445 kg/m³
**E_form (uncorrected)**: 0.061 eV/atom

=====

Record 2
The following is a DFT calculation (PBE) of a relaxed structure of TbY2Lu.

Geometry as POSCAR:
```
TbY2Lu
1.0
-4.613 3.234 -0.489
-4.843 -1.594 2.446
-1.963 2.823 4.489
Y Lu Tb
2 1 1
Direct
0.250 0.250 0.250 Y
0.750 0.750 0.750 Y
0.500 0.500 0.500 Lu
0.000 0.000 0.000 Tb
```

Summary:
**Total magnetic moment**: 0.0 μB/cell
**V**: 31.97 Å³/atom
**Energy of formation from the pure elements**: 0.137 eV per atom
**Total DFT energy (no corrections)**: -21.53 eV/f.u.
**Excess energy over the best structure of this formula in the dataset**: 108 meV/atom
**Density**: 6645 kg/m³

=====

Record 3
The following is a DFT calculation (PBE) of a relaxed structure of TbPaGaSn.

Geometry as POSCAR:
```
TbPaGaSn
1.0
5.218 0.000 0.000
2.609 4.519 0.000
2.609 1.506 4.260
Ga Tb Pa Sn
1 1 1 1
Direct
0.750 0.750 0.750 Ga
0.000 0.000 0.000 Tb
0.500 0.500 0.500 Pa
0.250 0.250 0.250 Sn
```

Summary:
**Total magnetic moment**: 1.8 μB/cell
**V**: 25.11 Å³/atom
**Energy of formation from the pure elements**: -0.259 eV per atom
**Total DFT energy (no corrections)**: -22.19 eV/f.u.
**Density**: 9562 kg/m³

=====

Record 4
The following is a DFT calculation (PBE) of a relaxed structure of K3Sm2PbO6.

Geometry as POSCAR:
```
K3Sm2PbO6
1.0
6.222 0.000 0.001
-3.110 5.389 0.001
-1.037 -1.795 6.312
Pb O Sm K
1 6 2 3
Direct
0.000 0.000 0.000 Pb
0.591 0.935 0.804 O
0.935 0.591 0.804 O
0.721 0.721 0.195 O
0.065 0.409 0.196 O
0.279 0.279 0.805 O
0.409 0.065 0.196 O
0.667 0.333 0.000 Sm
0.333 0.667 0.000 Sm
0.500 0.500 0.500 K
0.837 0.163 0.500 K
0.163 0.837 0.500 K
```

Summary:
**Total magnetic moment**: 0.8 μB/cell
**V**: 17.64 Å³/atom
**Total DFT energy (no corrections)**: -71.88 eV/f.u.
**Density**: 5658 kg/m³
**E_form (uncorrected)**: -2.141 eV/atom

=====

Record 5
The following is a DFT calculation (PBE) of a relaxed structure of NpU3Pt12.

Geometry as POSCAR:
```
NpU3Pt12
1.0
4.157 0.000 0.000
0.000 4.157 0.000
0.000 0.000 16.692
Pt U Np
12 3 1
Direct
0.500 0.500 0.251 Pt
0.000 0.500 0.873 Pt
0.500 0.000 0.625 Pt
0.500 0.000 0.127 Pt
0.500 0.000 0.375 Pt
0.000 0.500 0.127 Pt
0.500 0.000 0.873 Pt
0.000 0.500 0.375 Pt
0.500 0.500 0.000 Pt
0.500 0.500 0.500 Pt
0.000 0.500 0.625 Pt
0.500 0.500 0.749 Pt
0.000 0.000 0.750 U
0.000 0.000 0.500 U
0.000 0.000 0.250 U
0.000 0.000 0.000 Np
```

Summary:
**Total magnetic moment**: 2.3 μB/cell
**V**: 18.03 Å³/atom
**Energy of formation from the pure elements**: -0.687 eV per atom
**Total DFT energy (no corrections)**: -130.28 eV/f.u.
**Density**: 18948 kg/m³

=====

Record 6
The following is a DFT calculation (PBE) of a relaxed structure of TiP3.

Geometry as POSCAR:
```
TiP3
1.0
-2.036 2.644 3.874
-1.139 -2.373 4.383
3.935 0.374 -3.243
Ti P
1 3
Direct
0.000 0.000 0.000 Ti
0.750 0.250 0.500 P
0.500 0.500 0.000 P
0.250 0.750 0.500 P
```

Summary:
**Total magnetic moment**: 0.0 μB/cell
**V**: 14.51 Å³/atom
**Energy of formation from the pure elements**: -0.053 eV per atom
**Total DFT energy (no corrections)**: -24.34 eV/f.u.
**Density**: 4028 kg/m³

=====

Record 7
The following is a DFT calculation (PBE) of a relaxed structure of Ba2TePt.

Geometry as POSCAR:
```
Ba2TePt
1.0
5.619 0.000 0.000
2.810 4.866 0.000
2.810 1.622 4.588
Te Ba Pt
1 2 1
Direct
0.750 0.750 0.750 Te
0.250 0.250 0.250 Ba
0.000 0.000 0.000 Ba
0.500 0.500 0.500 Pt
```

Summary:
**Total magnetic moment**: 0.0 μB/cell
**V**: 31.36 Å³/atom
**Total DFT energy (no corrections)**: -15.29 eV/f.u.
**Density**: 7907 kg/m³
**E_form (uncorrected)**: -0.567 eV/atom

=====

Record 8
The following is a DFT calculation (PBE) of a relaxed structure of Ba2CaHPb.

Geometry as POSCAR:
```
Ba2CaHPb
1.0
5.552 0.000 0.000
0.000 5.431 0.000
0.000 0.000 5.552
H Ba Ca Pb
1 2 1 1
Direct
0.000 0.000 0.000 H
0.000 0.000 0.500 Ba
0.500 0.000 0.000 Ba
0.500 0.500 0.500 Ca
0.000 0.500 0.000 Pb
```

Summary:
**Total magnetic moment**: 0.0 μB/cell
**V**: 33.48 Å³/atom
**Total DFT energy (no corrections)**: -14.03 eV/f.u.
**Excess energy over the best structure of this formula in the dataset**: 160 meV/atom
**Density**: 5187 kg/m³

=====

Record 9
The following is a DFT calculation (PBE) of a relaxed structure of Mg2Sc2Tl3.

Geometry as POSCAR:
```
Mg2Sc2Tl3
1.0
4.705 -0.002 -1.303
-2.538 4.172 -0.006
-0.024 -0.021 8.929
Tl Mg Sc
3 2 2
Direct
0.000 0.000 0.000 Tl
0.510 0.755 0.266 Tl
0.490 0.245 0.734 Tl
0.256 0.129 0.385 Mg
0.744 0.871 0.615 Mg
0.759 0.379 0.138 Sc
0.241 0.621 0.862 Sc
```

Summary:
**Total magnetic moment**: 0.0 μB/cell
**V**: 25.00 Å³/atom
**Energy of formation from the pure elements**: -0.103 eV per atom
**Total DFT energy (no corrections)**: -23.67 eV/f.u.
**Density**: 7133 kg/m³

=====

Record 10
The following is a DFT calculation (PBE) of a relaxed structure of Li15Ca6Cd8.

Geometry as POSCAR:
```
Li15Ca6Cd8
1.0
8.489 0.000 4.901
2.830 8.003 4.901
0.000 0.000 9.802
Li Cd Ca
15 8 6
Direct
0.000 0.500 0.000 Li
0.028 0.324 0.324 Li
0.500 0.000 0.000 Li
0.676 0.972 0.676 Li
0.500 0.500 0.000 Li
0.676 0.676 0.972 Li
0.500 0.000 0.500 Li
0.676 0.676 0.676 Li
0.324 0.324 0.028 Li
0.000 0.000 0.000 Li
0.324 0.324 0.324 Li
0.324 0.028 0.324 Li
0.000 0.500 0.500 Li
0.972 0.676 0.676 Li
0.000 0.000 0.500 Li
0.122 0.122 0.122 Cd
0.366 0.878 0.878 Cd
0.122 0.634 0.122 Cd
0.878 0.366 0.878 Cd
0.634 0.122 0.122 Cd
0.878 0.878 0.366 Cd
0.878 0.878 0.878 Cd
0.122 0.122 0.634 Cd
0.288 0.712 0.288 Ca
0.288 0.288 0.712 Ca
0.712 0.288 0.288 Ca
0.712 0.712 0.288 Ca
0.712 0.288 0.712 Ca
0.288 0.712 0.712 Ca
```

Summary:
**Total magnetic moment**: 0.0 μB/cell
**V**: 22.96 Å³/atom
**Energy of formation from the pure elements**: -0.190 eV per atom
**Total DFT energy (no corrections)**: -53.54 eV/f.u.
**Density**: 3102 kg/m³

=====

Record 11
The following is a DFT calculation (PBE) of a relaxed structure of ErGa2Sn3.

Geometry as POSCAR:
```
ErGa2Sn3
1.0
4.362 0.000 0.000
0.000 5.819 0.000
0.000 0.000 11.911
Er Sn Ga
2 6 4
Direct
0.000 0.012 0.874 Er
0.000 0.512 0.126 Er
0.500 0.141 0.056 Sn
0.500 0.641 0.944 Sn
0.500 0.193 0.705 Sn
0.000 0.331 0.381 Sn
0.500 0.693 0.295 Sn
0.000 0.831 0.619 Sn
0.000 0.510 0.801 Ga
0.500 0.514 0.531 Ga
0.500 0.014 0.469 Ga
0.000 0.010 0.199 Ga
```

Summary:
**Total magnetic moment**: 0.0 μB/cell
**V**: 25.19 Å³/atom
**Energy of formation from the pure elements**: -0.208 eV per atom
**Total DFT energy (no corrections)**: -23.87 eV/f.u.
**Density**: 7281 kg/m³

=====

Record 12
The following is a DFT calculation (PBE) of a relaxed structure of Na2NpCl3F3.

Geometry as POSCAR:
```
Na2NpCl3F3
1.0
-2.708 -2.458 0.483
4.701 -5.306 -0.653
-1.372 2.770 6.412
Cl F Na Np
3 3 2 1
Direct
0.000 0.000 0.393 Cl
0.000 0.607 0.607 Cl
0.000 0.393 0.000 Cl
0.500 0.794 0.000 F
0.500 0.206 0.206 F
0.500 0.000 0.794 F
0.500 0.667 0.333 Na
0.500 0.333 0.667 Na
0.000 0.000 0.000 Np
```

Summary:
**Total magnetic moment**: 3.0 μB/cell
**V**: 17.99 Å³/atom
**Total DFT energy (no corrections)**: -48.53 eV/f.u.
**Density**: 4578 kg/m³
**E_form (uncorrected)**: -2.422 eV/atom